VASP calculation (GGA-PBE) on crystalline ScRuC at its relaxed geometry.

Structure (POSCAR):
```
ScRuC
1.0
-3.526 -0.370 1.758
2.059 -1.453 3.827
-0.432 3.609 4.347
Sc Ru C
2 2 2
direct
0.611 0.861 0.278 Sc
0.389 0.139 0.722 Sc
0.844 0.594 0.812 Ru
0.156 0.406 0.188 Ru
0.374 0.624 0.752 C
0.626 0.376 0.248 C
```

calculated volume	43.4	Å³/f.u.
size of the total moment	0.000	μB/atom
relative energy among the computed polymorphs	53	meV/atom
ρ	6.04	Mg/m³
formation energy	-0.25	eV per atom
DOS at the Fermi energy	2.10	states/eV/f.u.



VASP calculation (GGA-PBE) on crystalline ScRu3C at its relaxed geometry.

Structure (POSCAR):
```
ScRu3C
1.0
4.619 0.000 0.000
0.000 4.619 0.000
0.000 0.000 4.619
Sc Ru C
1 3 1
direct
0.000 0.000 0.000 Sc
0.000 0.500 0.000 Ru
0.000 0.000 0.500 Ru
0.500 0.000 0.000 Ru
0.500 0.500 0.500 C
```

calculated volume	98.5	Å³/f.u.
size of the total moment	0.654	μB/atom
relative energy among the computed polymorphs	3181	meV/atom
ρ	6.07	Mg/m³
formation energy	2.91	eV per atom
DOS at the Fermi energy	4.49	states/eV/f.u.



VASP calculation (GGA-PBE) on crystalline ScRuC3 at its relaxed geometry.

Structure (POSCAR):
```
ScRuC3
1.0
-3.864 0.624 0.498
0.224 -1.517 3.635
0.767 3.588 1.450
Sc Ru C
1 1 3
direct
0.500 0.500 0.500 Sc
0.000 0.000 0.000 Ru
0.000 0.500 0.000 C
0.000 0.000 0.500 C
0.500 0.000 0.000 C
```

calculated volume	61.4	Å³/f.u.
size of the total moment	0.000	μB/atom
relative energy among the computed polymorphs	0	meV/atom
ρ	4.92	Mg/m³
formation energy	1.36	eV per atom
DOS at the Fermi energy	3.74	states/eV/f.u.



VASP calculation (GGA-PBE) on crystalline ScRuC at its relaxed geometry.

Structure (POSCAR):
```
ScRuC
1.0
-1.103 -2.795 0.918
3.726 -2.495 -3.116
1.349 1.206 5.290
Ru C Sc
2 2 2
direct
0.250 0.704 0.510 Ru
0.750 0.296 0.490 Ru
0.250 0.504 0.741 C
0.750 0.496 0.259 C
0.250 0.236 0.947 Sc
0.750 0.764 0.053 Sc
```

calculated volume	42.2	Å³/f.u.
size of the total moment	0.000	μB/atom
relative energy among the computed polymorphs	88	meV/atom
ρ	6.21	Mg/m³
formation energy	-0.22	eV per atom
DOS at the Fermi energy	1.47	states/eV/f.u.



VASP calculation (GGA-PBE) on crystalline Sc3RuC at its relaxed geometry.

Structure (POSCAR):
```
Sc3RuC
1.0
-1.985 -0.965 -3.840
2.595 -3.561 -0.446
-2.990 -2.450 2.162
Sc Ru C
3 1 1
direct
0.000 0.500 0.000 Sc
0.000 0.000 0.500 Sc
0.500 0.000 0.000 Sc
0.500 0.500 0.500 Ru
0.000 0.000 0.000 C
```

calculated volume	86.9	Å³/f.u.
size of the total moment	0.000	μB/atom
relative energy among the computed polymorphs	0	meV/atom
ρ	4.74	Mg/m³
formation energy	-0.29	eV per atom
DOS at the Fermi energy	3.33	states/eV/f.u.



VASP calculation (GGA-PBE) on crystalline Sc2RuC2 at its relaxed geometry.

Structure (POSCAR):
```
Sc2RuC2
1.0
-3.877 1.538 4.015
0.805 -5.051 2.711
2.522 1.418 1.892
Sc Ru C
4 2 4
direct
0.182 0.682 0.500 Sc
0.682 0.818 0.500 Sc
0.818 0.318 0.500 Sc
0.318 0.182 0.500 Sc
0.000 0.000 0.000 Ru
0.500 0.500 0.000 Ru
0.403 0.903 0.000 C
0.903 0.597 0.000 C
0.597 0.097 0.000 C
0.097 0.403 0.000 C
```

calculated volume	57.9	Å³/f.u.
size of the total moment	0.000	μB/atom
relative energy among the computed polymorphs	4	meV/atom
ρ	6.16	Mg/m³
formation energy	-0.41	eV per atom
DOS at the Fermi energy	0.98	states/eV/f.u.



VASP calculation (GGA-PBE) on crystalline ScRu3C at its relaxed geometry.

Structure (POSCAR):
```
ScRu3C
1.0
-0.366 3.877 1.238
-3.566 0.294 -1.974
-1.962 -1.257 3.357
Sc Ru C
1 3 1
direct
0.500 0.500 0.500 Sc
0.000 0.500 0.000 Ru
0.000 0.000 0.500 Ru
0.500 0.000 0.000 Ru
0.000 0.000 0.000 C
```

calculated volume	68.2	Å³/f.u.
size of the total moment	0.000	μB/atom
relative energy among the computed polymorphs	0	meV/atom
ρ	8.77	Mg/m³
formation energy	-0.27	eV per atom
DOS at the Fermi energy	3.21	states/eV/f.u.



VASP calculation (GGA-PBE) on crystalline Sc2RuC2 at its relaxed geometry.

Structure (POSCAR):
```
Sc2RuC2
1.0
-4.316 0.751 -1.836
1.943 -2.206 -5.469
-2.563 -8.540 2.534
Sc Ru C
8 4 8
direct
0.750 0.661 0.561 Sc
0.250 0.839 0.061 Sc
0.250 0.339 0.439 Sc
0.750 0.161 0.939 Sc
0.750 0.041 0.282 Sc
0.250 0.459 0.782 Sc
0.250 0.959 0.718 Sc
0.750 0.541 0.218 Sc
0.750 0.198 0.624 Ru
0.250 0.302 0.124 Ru
0.250 0.802 0.376 Ru
0.750 0.698 0.876 Ru
0.750 0.434 0.757 C
0.250 0.066 0.257 C
0.250 0.566 0.243 C
0.750 0.934 0.743 C
0.750 0.839 0.068 C
0.250 0.661 0.568 C
0.250 0.161 0.932 C
0.750 0.339 0.432 C
```

calculated volume	68.3	Å³/f.u.
size of the total moment	0.000	μB/atom
relative energy among the computed polymorphs	0	meV/atom
ρ	5.22	Mg/m³
formation energy	-0.41	eV per atom
DOS at the Fermi energy	3.33	states/eV/f.u.



VASP calculation (GGA-PBE) on crystalline Sc3RuC at its relaxed geometry.

Structure (POSCAR):
```
Sc3RuC
1.0
4.868 0.000 0.000
0.000 4.868 0.000
0.000 0.000 4.868
Sc Ru C
3 1 1
direct
0.000 0.500 0.000 Sc
0.000 0.000 0.500 Sc
0.500 0.000 0.000 Sc
0.000 0.000 0.000 Ru
0.500 0.500 0.500 C
```

calculated volume	115.4	Å³/f.u.
size of the total moment	0.000	μB/atom
relative energy among the computed polymorphs	1318	meV/atom
ρ	3.57	Mg/m³
formation energy	1.03	eV per atom
DOS at the Fermi energy	4.27	states/eV/f.u.



VASP calculation (GGA-PBE) on crystalline ScRuC at its relaxed geometry.

Structure (POSCAR):
```
ScRuC
1.0
-1.087 -0.070 -2.980
3.550 -1.674 -2.945
-1.376 -5.361 -1.061
Sc Ru C
2 2 2
direct
0.427 0.291 0.854 Sc
0.573 0.709 0.146 Sc
0.820 0.762 0.599 Ru
0.180 0.238 0.401 Ru
0.815 0.169 0.201 C
0.185 0.831 0.799 C
```

calculated volume	39.1	Å³/f.u.
size of the total moment	0.000	μB/atom
relative energy among the computed polymorphs	73	meV/atom
ρ	6.71	Mg/m³
formation energy	-0.23	eV per atom
DOS at the Fermi energy	1.43	states/eV/f.u.



VASP calculation (GGA-PBE) on crystalline ScRuC at its relaxed geometry.

Structure (POSCAR):
```
ScRuC
1.0
4.752 0.000 0.000
0.000 3.155 0.000
0.000 -1.578 2.733
Sc Ru C
1 1 1
direct
0.742 0.333 0.667 Sc
0.225 0.000 0.000 Ru
0.033 0.667 0.333 C
```

calculated volume	41.0	Å³/f.u.
size of the total moment	0.000	μB/atom
relative energy among the computed polymorphs	0	meV/atom
ρ	6.41	Mg/m³
formation energy	-0.30	eV per atom
DOS at the Fermi energy	2.29	states/eV/f.u.



VASP calculation (GGA-PBE) on crystalline ScSnRu2C at its relaxed geometry.

Structure (POSCAR):
```
ScSnRu2C
1.0
-0.159 -3.606 -2.064
-0.973 -1.976 3.527
-4.220 0.646 -0.803
Sc Ru C Sn
1 2 1 1
direct
0.000 0.000 0.500 Sc
0.000 0.500 0.000 Ru
0.500 0.000 0.000 Ru
0.000 0.000 0.000 C
0.500 0.500 0.500 Sn
```

calculated volume	75.1	Å³/f.u.
size of the total moment	0.000	μB/atom
ρ	8.35	Mg/m³
formation energy	-0.18	eV per atom
DOS at the Fermi energy	3.62	states/eV/f.u.



VASP calculation (GGA-PBE) on crystalline ScTc2RuC at its relaxed geometry.

Structure (POSCAR):
```
ScTc2RuC
1.0
-3.385 2.258 -0.614
-2.336 -3.200 1.109
0.132 1.271 3.947
Sc Ru C Tc
1 1 1 2
direct
0.500 0.500 0.500 Sc
0.000 0.000 0.500 Ru
0.000 0.000 0.000 C
0.000 0.500 0.000 Tc
0.500 0.000 0.000 Tc
```

calculated volume	70.2	Å³/f.u.
size of the total moment	0.179	μB/atom
ρ	8.37	Mg/m³
formation energy	-0.12	eV per atom
DOS at the Fermi energy	7.70	states/eV/f.u.



VASP calculation (GGA-PBE) on crystalline ScTeRu2C at its relaxed geometry.

Structure (POSCAR):
```
ScTeRu2C
1.0
4.872 0.000 0.000
0.000 4.187 0.000
0.000 0.000 4.872
Sc Ru C Te
1 2 1 1
direct
0.500 0.500 0.500 Sc
0.000 0.000 0.500 Ru
0.500 0.000 0.000 Ru
0.000 0.500 0.000 C
0.000 0.000 0.000 Te
```

calculated volume	99.4	Å³/f.u.
size of the total moment	0.191	μB/atom
ρ	6.46	Mg/m³
ΔE_f (raw)	1.506	eV per atom
DOS at the Fermi energy	2.30	states/eV/f.u.



VASP calculation (GGA-PBE) on crystalline ScVRu2C at its relaxed geometry.

Structure (POSCAR):
```
ScVRu2C
1.0
-3.958 -0.662 1.006
-0.184 -3.083 -2.753
1.149 -2.588 2.821
Sc Ru C V
1 2 1 1
direct
0.500 0.500 0.500 Sc
0.000 0.500 0.000 Ru
0.500 0.000 0.000 Ru
0.000 0.000 0.000 C
0.000 0.000 0.500 V
```

calculated volume	68.4	Å³/f.u.
size of the total moment	0.250	μB/atom
relative energy among the computed polymorphs	0	meV/atom
ρ	7.52	Mg/m³
formation energy	-0.24	eV per atom
DOS at the Fermi energy	5.71	states/eV/f.u.



VASP calculation (GGA-PBE) on crystalline ScVRu2C at its relaxed geometry.

Structure (POSCAR):
```
ScVRu2C
1.0
4.523 0.000 0.000
0.000 4.535 0.000
0.000 0.000 4.523
Sc Ru C V
1 2 1 1
direct
0.000 0.000 0.000 Sc
0.000 0.000 0.500 Ru
0.500 0.000 0.000 Ru
0.500 0.500 0.500 C
0.000 0.500 0.000 V
```

calculated volume	92.8	Å³/f.u.
size of the total moment	0.114	μB/atom
relative energy among the computed polymorphs	3091	meV/atom
ρ	5.55	Mg/m³
formation energy	2.85	eV per atom
DOS at the Fermi energy	6.93	states/eV/f.u.



VASP calculation (GGA-PBE) on crystalline YScRu2C at its relaxed geometry.

Structure (POSCAR):
```
YScRu2C
1.0
4.281 0.000 0.000
0.000 4.281 0.000
0.000 0.000 4.317
Y Ru C Sc
1 2 1 1
direct
0.500 0.500 0.500 Y
0.000 0.500 0.000 Ru
0.500 0.000 0.000 Ru
0.000 0.000 0.000 C
0.000 0.000 0.500 Sc
```

calculated volume	79.1	Å³/f.u.
size of the total moment	0.000	μB/atom
ρ	7.30	Mg/m³
formation energy	-0.18	eV per atom
DOS at the Fermi energy	3.80	states/eV/f.u.



VASP calculation (GGA-PBE) on crystalline Ru3CSe at its relaxed geometry.

Structure (POSCAR):
```
Ru3CSe
1.0
-1.240 -2.260 -3.171
-0.744 -3.129 2.521
-3.822 1.342 0.539
Ru C Se
3 1 1
direct
0.000 0.500 0.000 Ru
0.000 0.000 0.500 Ru
0.500 0.000 0.000 Ru
0.000 0.000 0.000 C
0.500 0.500 0.500 Se
```

calculated volume	68.2	Å³/f.u.
size of the total moment	0.000	μB/atom
ρ	9.59	Mg/m³
ΔE_f (raw)	0.493	eV per atom
DOS at the Fermi energy	1.45	states/eV/f.u.



VASP calculation (GGA-PBE) on crystalline RuC3Se at its relaxed geometry.

Structure (POSCAR):
```
RuC3Se
1.0
-2.152 -0.177 3.158
-3.088 -0.704 -2.144
0.681 -3.756 0.254
Ru C Se
1 3 1
direct
0.500 0.500 0.500 Ru
0.000 0.500 0.000 C
0.000 0.000 0.500 C
0.500 0.000 0.000 C
0.000 0.000 0.000 Se
```

calculated volume	56.0	Å³/f.u.
size of the total moment	0.174	μB/atom
relative energy among the computed polymorphs	817	meV/atom
ρ	6.41	Mg/m³
ΔE_f (raw)	2.998	eV per atom
DOS at the Fermi energy	5.00	states/eV/f.u.



VASP calculation (GGA-PBE) on crystalline RuC3Se at its relaxed geometry.

Structure (POSCAR):
```
RuC3Se
1.0
-3.731 -1.478 0.421
1.411 -3.733 -0.600
0.609 -0.408 3.968
Ru C Se
1 3 1
direct
0.000 0.000 0.000 Ru
0.000 0.500 0.000 C
0.000 0.000 0.500 C
0.500 0.000 0.000 C
0.500 0.500 0.500 Se
```

calculated volume	65.7	Å³/f.u.
size of the total moment	0.000	μB/atom
relative energy among the computed polymorphs	0	meV/atom
ρ	5.46	Mg/m³
ΔE_f (raw)	2.181	eV per atom
DOS at the Fermi energy	2.21	states/eV/f.u.



VASP calculation (GGA-PBE) on crystalline RuCSe2 at its relaxed geometry.

Structure (POSCAR):
```
RuCSe2
1.0
-7.359 -1.463 -1.029
-7.455 1.022 0.856
-7.102 1.410 -2.220
Ru C Se
1 1 2
direct
0.000 0.000 0.000 Ru
0.500 0.500 0.500 C
0.895 0.895 0.895 Se
0.105 0.105 0.105 Se
```

calculated volume	62.0	Å³/f.u.
size of the total moment	0.000	μB/atom
ρ	7.26	Mg/m³
ΔE_f (raw)	1.322	eV per atom
DOS at the Fermi energy	1.97	states/eV/f.u.



VASP calculation (GGA-PBE) on crystalline RuCSe2 at its relaxed geometry.

Structure (POSCAR):
```
RuCSe2
1.0
3.293 3.488 4.273
1.773 0.541 6.151
4.947 0.059 4.098
Ru C Se
1 1 2
direct
0.500 0.500 0.500 Ru
0.000 0.000 0.000 C
0.903 0.903 0.903 Se
0.097 0.097 0.097 Se
```

calculated volume	75.9	Å³/f.u.
size of the total moment	0.000	μB/atom
ρ	5.93	Mg/m³
ΔE_f (raw)	0.923	eV per atom
DOS at the Fermi energy	2.28	states/eV/f.u.



VASP calculation (GGA-PBE) on crystalline RuCSe2 at its relaxed geometry.

Structure (POSCAR):
```
RuCSe2
1.0
5.394 0.000 0.000
0.000 5.394 0.000
2.697 2.697 4.778
Ru C Se
2 2 4
direct
0.000 0.000 0.000 Ru
0.750 0.250 0.500 Ru
0.500 0.500 0.000 C
0.250 0.750 0.500 C
0.586 0.125 0.250 Se
0.164 0.625 0.250 Se
0.375 0.414 0.750 Se
0.875 0.836 0.750 Se
```

calculated volume	69.5	Å³/f.u.
size of the total moment	0.000	μB/atom
ρ	6.47	Mg/m³
ΔE_f (raw)	0.967	eV per atom
DOS at the Fermi energy	0.18	states/eV/f.u.



VASP calculation (GGA-PBE) on crystalline SnRu2CSe at its relaxed geometry.

Structure (POSCAR):
```
SnRu2CSe
1.0
4.179 0.000 0.000
0.000 4.457 0.000
0.000 0.000 4.179
Ru C Sn Se
2 1 1 1
direct
0.000 0.000 0.500 Ru
0.500 0.000 0.000 Ru
0.000 0.000 0.000 C
0.500 0.500 0.500 Sn
0.000 0.500 0.000 Se
```

calculated volume	77.8	Å³/f.u.
size of the total moment	0.000	μB/atom
ρ	8.78	Mg/m³
ΔE_f (raw)	0.761	eV per atom
DOS at the Fermi energy	5.29	states/eV/f.u.



VASP calculation (GGA-PBE) on crystalline Th6Ru2CSe3 at its relaxed geometry.

Structure (POSCAR):
```
Th6Ru2CSe3
1.0
-6.895 -0.479 -1.079
4.356 -4.378 -3.285
0.301 -3.039 6.906
Th Ru C Se
6 2 1 3
direct
0.930 0.610 0.791 Th
0.752 0.752 0.214 Th
0.070 0.390 0.209 Th
0.610 0.930 0.791 Th
0.248 0.248 0.786 Th
0.390 0.070 0.209 Th
0.334 0.666 0.000 Ru
0.666 0.334 0.000 Ru
0.000 0.000 0.000 C
0.170 0.830 0.500 Se
0.830 0.170 0.500 Se
0.500 0.500 0.500 Se
```

calculated volume	305.1	Å³/f.u.
size of the total moment	0.000	μB/atom
ρ	10.03	Mg/m³
ΔE_f (raw)	-1.013	eV per atom
DOS at the Fermi energy	6.47	states/eV/f.u.



VASP calculation (GGA-PBE) on crystalline TlRu2CSe at its relaxed geometry.

Structure (POSCAR):
```
TlRu2CSe
1.0
5.143 0.000 0.000
0.000 5.248 0.000
0.000 0.000 5.143
Ru Tl C Se
2 1 1 1
direct
0.000 0.000 0.500 Ru
0.500 0.000 0.000 Ru
0.000 0.000 0.000 Tl
0.500 0.500 0.500 C
0.000 0.500 0.000 Se
```

calculated volume	138.8	Å³/f.u.
size of the total moment	1.113	μB/atom
ρ	5.95	Mg/m³
ΔE_f (raw)	3.240	eV per atom
DOS at the Fermi energy	8.53	states/eV/f.u.



VASP calculation (GGA-PBE) on crystalline Zr2RuCSe at its relaxed geometry.

Structure (POSCAR):
```
Zr2RuCSe
1.0
-3.897 2.376 2.279
-2.330 -1.150 -2.785
-1.049 -4.243 2.630
Ru C Se Zr
1 1 1 2
direct
0.000 0.000 0.000 Ru
0.000 0.500 0.000 C
0.500 0.500 0.500 Se
0.000 0.000 0.500 Zr
0.500 0.000 0.000 Zr
```

calculated volume	99.1	Å³/f.u.
size of the total moment	0.000	μB/atom
ρ	6.27	Mg/m³
ΔE_f (raw)	0.198	eV per atom
DOS at the Fermi energy	3.41	states/eV/f.u.